# 1
## PrIn2PdPt (PBE)

Data for PrIn2PdPt after structural relaxation.

```
PrIn2PdPt
1.0
4.5143 0.0000 0.0000
0.0000 4.5143 0.0000
0.0000 0.0000 11.2209
Pr In Pd Pt
2 4 2 2
Direct
0.2500 0.2500 0.2482
0.7500 0.7500 0.7518
0.2500 0.2500 0.6269
0.2500 0.7500 0.0000
0.7500 0.2500 0.0000
0.7500 0.7500 0.3731
0.2500 0.7500 0.5000
0.7500 0.2500 0.5000
0.2500 0.2500 0.8603
0.7500 0.7500 0.1397
```

- Space group: P4/nmm
- DFT total energy: -4.978 eV per atom


# 2
## Hf4ZnCoN2 (PBE)

Data for Hf4ZnCoN2 after structural relaxation.

```
Hf4ZnCoN2
1.0
3.1876 0.0000 0.0000
-1.5938 2.7605 0.0000
0.0000 0.0000 13.4992
Hf Zn Co N
4 1 1 2
Direct
0.0000 0.0000 0.1419
0.0000 0.0000 0.8581
0.6667 0.3333 0.3342
0.6667 0.3333 0.6658
0.0000 0.0000 0.5000
0.6667 0.3333 0.0000
0.3333 0.6667 0.2411
0.3333 0.6667 0.7589
```

- Space group: P-6m2
- DFT total energy: -9.014 eV per atom


# 3
## KFeB4 (PBE)

Data for KFeB4 after structural relaxation.

```
KFeB4
1.0
3.0107 0.0000 0.0000
-1.5054 2.6074 0.0000
0.0000 0.0000 7.9567
K Fe B
1 1 4
Direct
0.0000 0.0000 0.0000
0.0000 0.0000 0.5000
0.3333 0.6667 0.3147
0.3333 0.6667 0.6853
0.6667 0.3333 0.3147
0.6667 0.3333 0.6853
```

- Space group: P6/mmm
- ΔE to the lowest computed polymorph: 0 meV per atom